Entry 1:
# Sc2InMo

A geometry-optimized Sc2InMo structure (GGA-PBEsol, the Alexandria database).

Calculated volume, Å³/f.u.: 90
Mass density, g/cm³: 5.57
Formation energy from the elements, eV/atom: 0.2734
Fermi-level density of states, states/eV per cell: 5.08

abc: 3.205 3.205 10.251
angles: 81.01 81.01 60.00
Fractional coordinates of all 4 atoms:
1 Sc 0.898 0.898 0.305
2 Sc 0.102 0.102 0.695
3 In 0.000 0.000 0.000
4 Mo 0.500 0.500 0.500

=====

Entry 2:
# LiZr2ScCo

A geometry-optimized LiZr2ScCo structure (GGA-PBEsol, the Alexandria database).

Calculated volume, Å³/f.u.: 104
Mass density, g/cm³: 4.70
Formation energy from the elements, eV/atom: 0.2880
Fermi-level density of states, states/eV per cell: 5.67

abc: 4.690 4.698 4.698
angles: 90.00 90.00 90.00
Fractional coordinates of all 5 atoms:
1 Sc 0.500 0.500 0.500
2 Co 0.000 0.000 0.000
3 Zr 0.000 0.500 0.000
4 Li 0.500 0.000 0.000
5 Zr 0.000 0.000 0.500

=====

Entry 3:
# LiCaBr

A geometry-optimized LiCaBr structure (GGA-PBEsol, the Alexandria database).

Calculated volume, Å³/f.u.: 91
Mass density, g/cm³: 2.32
Formation energy without anion corrections, meV per atom: -279
Fermi-level density of states, states/eV per cell: 2.78

abc: 5.046 5.046 5.046
angles: 60.00 60.00 60.00
Fractional coordinates of all 3 atoms:
1 Br 0.000 0.000 0.000
2 Li 0.250 0.250 0.250
3 Ca 0.500 0.500 0.500

=====

no.,spin magnetization (μB/f.u.)
1,0.0
2,0.0
3,0.0